# 1
This record from Alexandria via LeMat-Bulk describes a geometry-optimized SrReMo2 structure. The functional is GGA-PBE.

Calculated values
- DOS at the Fermi energy: 1.012 states/eV per atom
- Size of the total moment: 0.00 μB per formula unit
- Energy of formation: 0.720 eV/atom

Unit cell a=3.270 b=4.619 c=9.806 alpha=90.00 beta=90.00 gamma=90.00
Space group Cmm2 (No. 35)
Symmetry-distinct sites (fractional):
1 Sr 0.000 0.000 0.000 x2
2 Re 0.000 0.500 0.280 x2
3 Mo 0.000 0.000 0.493 x2
4 Mo 0.000 0.500 0.708 x2

---

# 2
This record from Alexandria via LeMat-Bulk describes a geometry-optimized Cd3GaPd4 structure. The functional is GGA-PBE.

Calculated values
- DOS at the Fermi energy: 0.412 states/eV per atom
- Size of the total moment: 0.00 μB per formula unit
- Energy of formation: -0.439 eV/atom

Unit cell a=15.003 b=4.335 c=4.335 alpha=90.00 beta=106.68 gamma=90.00
Space group C2/m (No. 12)
Symmetry-distinct sites (fractional):
1 Cd 0.000 0.000 0.000 x2
2 Cd 0.249 0.000 0.249 x4
3 Ga 0.000 0.500 0.500 x2
4 Pd 0.117 0.000 0.617 x4
5 Pd 0.117 0.500 0.118 x4

---

# 3
This record from Alexandria via LeMat-Bulk describes a geometry-optimized CrTeAu2 structure. The functional is GGA-PBE.

Calculated values
- Formation energy (no corrections): 242 meV/atom
- DOS at the Fermi energy: 0.579 states/eV per atom
- Size of the total moment: 4.13 μB per formula unit

Unit cell a=4.301 b=4.301 c=8.587 alpha=90.00 beta=90.00 gamma=90.00
Space group I-4m2 (No. 119)
Symmetry-distinct sites (fractional):
1 Cr 0.000 0.000 0.000 x2
2 Te 0.000 0.500 0.750 x2
3 Au 0.000 0.000 0.500 x2
4 Au 0.000 0.500 0.250 x2

---

# 4
This record from Alexandria via LeMat-Bulk describes a geometry-optimized AlH2PtS structure. The functional is GGA-PBE.

Calculated values
- DOS at the Fermi energy: 0.355 states/eV per atom
- Final energy: -4.115 eV/atom
- Size of the total moment: 0.00 μB per formula unit

Unit cell a=3.438 b=3.438 c=5.421 alpha=90.00 beta=90.00 gamma=90.00
Space group P4/mmm (No. 123)
Symmetry-distinct sites (fractional):
1 Al 0.000 0.000 0.000 x1
2 H 0.000 0.500 0.000 x2
3 Pt 0.000 0.000 0.500 x1
4 S 0.500 0.500 0.500 x1

---

# 5
This record from Alexandria via LeMat-Bulk describes a geometry-optimized Sr2TaCoAg structure. The functional is GGA-PBE.

Calculated values
- DOS at the Fermi energy: 2.065 states/eV per atom
- Size of the total moment: 1.69 μB per formula unit
- Energy of formation: 1.389 eV/atom

Unit cell a=5.886 b=5.886 c=5.062 alpha=90.00 beta=90.00 gamma=90.00
Space group P4/mmm (No. 123)
Symmetry-distinct sites (fractional):
1 Sr 0.000 0.500 0.000 x2
2 Ta 0.000 0.000 0.500 x1
3 Co 0.500 0.500 0.500 x1
4 Ag 0.000 0.000 0.000 x1

---

# 6
This record from Alexandria via LeMat-Bulk describes a geometry-optimized Dy3GaPb2 structure. The functional is GGA-PBE.

Calculated values
- DOS at the Fermi energy: 0.631 states/eV per atom
- Size of the total moment: 0.00 μB per formula unit
- Energy of formation: -0.467 eV/atom

Unit cell a=12.482 b=4.445 c=11.979 alpha=90.00 beta=90.00 gamma=90.00
Space group Pnma (No. 62)
Symmetry-distinct sites (fractional):
1 Dy 0.056 0.250 0.121 x4
2 Dy 0.122 0.750 0.551 x4
3 Dy 0.236 0.250 0.787 x4
4 Ga 0.124 0.250 0.368 x4
5 Pb 0.006 0.250 0.699 x4
6 Pb 0.185 0.750 0.999 x4

---

# 7
This record from Alexandria via LeMat-Bulk describes a geometry-optimized BaMnC3 structure. The functional is GGA-PBE.

Calculated values
- DOS at the Fermi energy: 0.551 states/eV per atom
- Size of the total moment: 1.44 μB per formula unit
- Energy of formation: 1.293 eV/atom

Unit cell a=4.003 b=4.003 c=4.003 alpha=90.00 beta=90.00 gamma=90.00
Space group Pm-3m (No. 221)
Symmetry-distinct sites (fractional):
1 Ba 0.000 0.000 0.000 x1
2 Mn 0.500 0.500 0.500 x1
3 C 0.000 0.500 0.500 x3

---

# 8
This record from Alexandria via LeMat-Bulk describes a geometry-optimized PuNb4N6 structure. The functional is GGA-PBE.

Calculated values
- Formation energy (no corrections): -1031 meV/atom
- DOS at the Fermi energy: 0.804 states/eV per atom
- Size of the total moment: 4.37 μB per formula unit

Unit cell a=3.165 b=10.369 c=15.595 alpha=90.00 beta=90.00 gamma=90.00
Space group Cmcm (No. 63)
Symmetry-distinct sites (fractional):
1 Pu 0.000 0.161 0.250 x4
2 Nb 0.000 0.100 0.629 x8
3 Nb 0.000 0.355 0.543 x8
4 N 0.000 0.000 0.000 x4
5 N 0.000 0.172 0.750 x4
6 N 0.000 0.264 0.095 x8
7 N 0.000 0.463 0.661 x8

---

# 9
This record from Alexandria via LeMat-Bulk describes a geometry-optimized Ag4ICl8 structure. The functional is GGA-PBE.

Calculated values
- Formation energy (no corrections): -339 meV/atom
- DOS at the Fermi energy: 0.873 states/eV per atom
- Size of the total moment: 0.40 μB per formula unit

Unit cell a=14.139 b=7.643 c=8.172 alpha=90.00 beta=113.43 gamma=90.00
Space group C2/m (No. 12)
Symmetry-distinct sites (fractional):
1 Ag 0.000 0.000 0.000 x2
2 Ag 0.000 0.500 0.000 x2
3 Ag 0.250 0.250 0.000 x4
4 I 0.000 0.000 0.500 x2
5 Cl 0.023 0.237 0.734 x8
6 Cl 0.186 0.500 0.153 x4
7 Cl 0.196 0.000 0.153 x4

---

# 10
This record from Alexandria via LeMat-Bulk describes a geometry-optimized Pr2Nd3Cd3 structure. The functional is GGA-PBE.

Calculated values
- DOS at the Fermi energy: 1.327 states/eV per atom
- Size of the total moment: 0.00 μB per formula unit
- Energy of formation: -0.231 eV/atom

Unit cell a=3.878 b=5.548 c=22.818 alpha=90.00 beta=90.00 gamma=90.00
Space group Immm (No. 71)
Symmetry-distinct sites (fractional):
1 Pr 0.000 0.000 0.234 x4
2 Nd 0.000 0.000 0.000 x2
3 Nd 0.000 0.500 0.121 x4
4 Cd 0.000 0.000 0.500 x2
5 Cd 0.000 0.500 0.384 x4

---

# 11
This record from Alexandria via LeMat-Bulk describes a geometry-optimized Ti4MnPt structure. The functional is GGA-PBE.

Calculated values
- DOS at the Fermi energy: 1.125 states/eV per atom
- Size of the total moment: 0.00 μB per formula unit
- Energy of formation: -0.167 eV/atom

Unit cell a=4.3691 b=4.3691 c=19.2658 alpha=90.00 beta=90.00 gamma=120.00
Space group R-3m (No. 166, hexagonal axes)
Symmetry-distinct sites (fractional):
1 Ti 0.0000 0.0000 0.1163 x6
2 Ti 0.0000 0.0000 0.3674 x6
3 Mn 0.0000 0.0000 0.0000 x3
4 Pt 0.0000 0.0000 0.5000 x3

---

# 12
This record from Alexandria via LeMat-Bulk describes a geometry-optimized SmThSe2 structure. The functional is GGA-PBE.

Calculated values
- Formation energy (no corrections): -1670 meV/atom
- DOS at the Fermi energy: 0.539 states/eV per atom
- Size of the total moment: 0.00 μB per formula unit

Unit cell a=4.1232 b=4.1232 c=21.1494 alpha=90.00 beta=90.00 gamma=120.00
Space group R-3m (No. 166, hexagonal axes)
Symmetry-distinct sites (fractional):
1 Sm 0.0000 0.0000 0.0000 x3
2 Th 0.0000 0.0000 0.5000 x3
3 Se 0.0000 0.0000 0.2522 x6

---

> Which value of DOS at the Fermi energy does entry 12 give?

0.539 states/eV per atom